Li11Tl9Pd4: optimized geometry, PBE-GGA.

Lattice parameters (Å, degrees): 12.2465 12.2465 3.3085 90.00 90.00 113.00
Element x y z (fractional)
Li 0.0000 0.0000 0.0000
Li 0.0725 0.4128 0.0000
Li 0.1622 0.8378 0.0000
Li 0.2993 0.2993 0.0000
Li 0.3669 0.6331 0.0000
Li 0.4128 0.0725 0.0000
Li 0.5872 0.9275 0.0000
Li 0.6331 0.3669 0.0000
Li 0.7007 0.7007 0.0000
Li 0.8378 0.1622 0.0000
Li 0.9275 0.5872 0.0000
Tl 0.0640 0.2201 0.5000
Tl 0.1451 0.6214 0.5000
Tl 0.2201 0.0640 0.5000
Tl 0.3786 0.8549 0.5000
Tl 0.5000 0.5000 0.5000
Tl 0.6214 0.1451 0.5000
Tl 0.7799 0.9360 0.5000
Tl 0.8549 0.3786 0.5000
Tl 0.9360 0.7799 0.5000
Pd 0.2559 0.4515 0.5000
Pd 0.4515 0.2559 0.5000
Pd 0.5485 0.7441 0.5000
Pd 0.7441 0.5485 0.5000

Values from the calculation:
magnetization	0.00	μB per cell
energy of formation from the pure elements	-6.90	eV/f.u.
symmetry	No. 65

MgHg4Pb5: optimized geometry, PBE-GGA.

Lattice parameters (Å, degrees): 8.9897 8.9897 9.8894 109.61 109.61 22.47
Element x y z (fractional)
Mg 0.0000 0.0000 0.0000
Hg 0.1597 0.1597 0.8759
Hg 0.4960 0.4960 0.7666
Hg 0.5040 0.5040 0.2334
Hg 0.8403 0.8403 0.1241
Pb 0.0000 0.0000 0.5000
Pb 0.3231 0.3231 0.4587
Pb 0.3231 0.3231 0.8144
Pb 0.6769 0.6769 0.1856
Pb 0.6769 0.6769 0.5413

Values from the calculation:
magnetization	0.00	μB per cell
energy of formation from the pure elements	0.10	eV/f.u.
symmetry	No. 12

CrMoOs: optimized geometry, PBE-GGA.

Lattice parameters (Å, degrees): 5.0641 5.0641 5.0641 145.15 145.15 50.12
Element x y z (fractional)
Cr 0.0000 0.0000 0.0000
Mo 0.3497 0.3497 0.0000
Os 0.6681 0.6681 0.0000

Values from the calculation:
magnetization	0.00	μB per cell
energy of formation from the pure elements	0.53	eV/f.u.
symmetry	No. 107
distance to the lowest polymorph of the same formula	32.9	meV per atom

PdSeN2O: optimized geometry, PBE-GGA.

Lattice parameters (Å, degrees): 3.9426 3.9426 3.9792 90.00 90.00 90.00
Element x y z (fractional)
Pd 0.0000 0.0000 0.0000
Se 0.5000 0.5000 0.5000
N 0.0000 0.5000 0.0000
N 0.5000 0.0000 0.0000
O 0.0000 0.0000 0.5000

Values from the calculation:
magnetization	0.00	μB per cell
formation energy (no corrections)	1581	meV per atom
symmetry	No. 123

K3Zr3ScTe8: optimized geometry, PBE-GGA.

Lattice parameters (Å, degrees): 8.2725 8.2725 9.7980 114.94 114.94 60.01
Element x y z (fractional)
K 0.0000 0.0000 0.0000
K 0.0000 0.5000 0.0000
K 0.5000 0.0000 0.0000
Zr 0.0000 0.5000 0.5000
Zr 0.5000 0.0000 0.5000
Zr 0.5000 0.5000 0.5000
Sc 0.0000 0.0000 0.5000
Te 0.2351 0.2351 0.7016
Te 0.2350 0.7319 0.7017
Te 0.2652 0.2652 0.2960
Te 0.2681 0.7650 0.2983
Te 0.7319 0.2350 0.7017
Te 0.7348 0.7348 0.7040
Te 0.7650 0.2681 0.2983
Te 0.7649 0.7649 0.2984

Values from the calculation:
magnetization	0.00	μB per cell
formation energy (no corrections)	-1041	meV per atom
symmetry	No. 12

LuMg2Pd: optimized geometry, PBE-GGA.

Lattice parameters (Å, degrees): 4.8304 4.8304 4.8304 60.00 60.00 60.00
Element x y z (fractional)
Lu 0.0000 0.0000 0.0000
Mg 0.2500 0.2500 0.2500
Mg 0.7500 0.7500 0.7500
Pd 0.5000 0.5000 0.5000

Values from the calculation:
magnetization	0.00	μB per cell
energy of formation from the pure elements	-0.98	eV/f.u.
symmetry	No. 225

NaZnAg: optimized geometry, PBE-GGA.

Lattice parameters (Å, degrees): 5.9025 5.9025 5.9025 146.04 146.04 48.79
Element x y z (fractional)
Na 0.0000 0.0000 0.0000
Zn 0.2972 0.2972 0.0000
Ag 0.7002 0.7002 0.0000

Values from the calculation:
magnetization	0.00	μB per cell
energy of formation from the pure elements	0.06	eV/f.u.
symmetry	No. 107
distance to the lowest polymorph of the same formula	103.5	meV per atom

HfScCSe: optimized geometry, PBE-GGA.

Lattice parameters (Å, degrees): 6.5990 6.5990 6.5990 30.38 30.38 30.38
Element x y z (fractional)
Hf 0.0000 0.0000 0.0000
Sc 0.7950 0.7950 0.7950
C 0.3910 0.3910 0.3910
Se 0.5644 0.5644 0.5644

Values from the calculation:
magnetization	0.00	μB per cell
formation energy (no corrections)	-1152	meV per atom
symmetry	No. 160

Sm2Ho2Al3: optimized geometry, PBE-GGA.

Lattice parameters (Å, degrees): 14.3456 14.3456 3.5612 90.00 90.00 165.67
Element x y z (fractional)
Sm 0.1915 0.8085 0.0000
Sm 0.8085 0.1915 0.0000
Ho 0.0626 0.9374 0.0000
Ho 0.9374 0.0626 0.0000
Al 0.3738 0.6262 0.5000
Al 0.5000 0.5000 0.5000
Al 0.6262 0.3738 0.5000

Values from the calculation:
magnetization	0.00	μB per cell
energy of formation from the pure elements	-2.02	eV/f.u.
symmetry	No. 65

ZnOsCl2: optimized geometry, PBE-GGA.

Lattice parameters (Å, degrees): 6.0187 6.0187 6.0187 100.82 100.82 128.65
Element x y z (fractional)
Zn 0.0000 0.0000 0.0000
Zn 0.7500 0.2500 0.5000
Os 0.2500 0.7500 0.5000
Os 0.5000 0.5000 0.0000
Cl 0.2281 0.6250 0.1031
Cl 0.3750 0.4781 0.6031
Cl 0.5219 0.1250 0.8969
Cl 0.8750 0.7719 0.3969

Values from the calculation:
magnetization	0.00	μB per cell
formation energy (no corrections)	349	meV per atom
symmetry	No. 122
distance to the lowest polymorph of the same formula	358.7	meV per atom

PmGdGeRu: optimized geometry, PBE-GGA.

Lattice parameters (Å, degrees): 5.0223 5.0223 5.0223 60.00 60.00 60.00
Element x y z (fractional)
Pm 0.0000 0.0000 0.0000
Gd 0.5000 0.5000 0.5000
Ge 0.2500 0.2500 0.2500
Ru 0.7500 0.7500 0.7500

Values from the calculation:
magnetization	6.94	μB per cell
energy of formation from the pure elements	-1.58	eV/f.u.
symmetry	No. 216

AcMgCuAg: optimized geometry, PBE-GGA.

Lattice parameters (Å, degrees): 5.1587 5.1587 5.1587 60.00 60.00 60.00
Element x y z (fractional)
Ac 0.0000 0.0000 0.0000
Mg 0.5000 0.5000 0.5000
Cu 0.7500 0.7500 0.7500
Ag 0.2500 0.2500 0.2500

Values from the calculation:
magnetization	0.00	μB per cell
energy of formation from the pure elements	-0.51	eV/f.u.
symmetry	No. 216
distance to the lowest polymorph of the same formula	79.3	meV per atom

Nd3MgNi2: optimized geometry, PBE-GGA.

Lattice parameters (Å, degrees): 8.2590 8.2590 10.4530 113.94 113.94 29.34
Element x y z (fractional)
Nd 0.0498 0.0498 0.2139
Nd 0.2003 0.2003 0.5971
Nd 0.3422 0.3422 0.9935
Nd 0.6578 0.6578 0.0065
Nd 0.7997 0.7997 0.4029
Nd 0.9502 0.9502 0.7861
Mg 0.4403 0.4403 0.3493
Mg 0.5597 0.5597 0.6507
Ni 0.1440 0.1440 0.8241
Ni 0.3807 0.3807 0.5929
Ni 0.6193 0.6193 0.4071
Ni 0.8560 0.8560 0.1759

Values from the calculation:
magnetization	0.00	μB per cell
energy of formation from the pure elements	-0.73	eV/f.u.
symmetry	No. 12

SmBO3: optimized geometry, PBE-GGA.

Lattice parameters (Å, degrees): 8.6774 4.0247 4.0247 112.80 90.00 90.00
Element x y z (fractional)
Sm 0.0000 0.0000 0.0000
Sm 0.5000 0.0000 0.0000
B 0.2500 0.5799 0.3040
B 0.7500 0.3040 0.5799
O 0.1063 0.7443 0.4011
O 0.2500 0.2209 0.0774
O 0.3937 0.7443 0.4011
O 0.6063 0.4011 0.7443
O 0.7500 0.0774 0.2209
O 0.8937 0.4011 0.7443

Values from the calculation:
magnetization	0.00	μB per cell
formation energy (no corrections)	-3014	meV per atom
symmetry	No. 40

Na4Hg5Bi2: optimized geometry, PBE-GGA.

Lattice parameters (Å, degrees): 8.3929 3.4276 10.8137 90.00 98.02 90.00
Element x y z (fractional)
Na 0.1751 0.0000 0.4061
Na 0.2843 0.0000 0.9373
Na 0.7157 0.0000 0.0627
Na 0.8249 0.0000 0.5939
Hg 0.1801 0.5000 0.6531
Hg 0.4695 0.5000 0.2022
Hg 0.5000 0.5000 0.5000
Hg 0.5305 0.5000 0.7978
Hg 0.8199 0.5000 0.3469
Bi 0.0767 0.5000 0.1401
Bi 0.9233 0.5000 0.8599

Values from the calculation:
magnetization	0.00	μB per cell
energy of formation from the pure elements	-2.29	eV/f.u.
symmetry	No. 10
distance to the lowest polymorph of the same formula	0.0	meV per atom

Er2TmPb: optimized geometry, PBE-GGA.

Lattice parameters (Å, degrees): 6.4870 6.4870 11.5708 112.91 112.91 31.76
Element x y z (fractional)
Er 0.0994 0.0994 0.4096
Er 0.1296 0.1296 0.8932
Er 0.8704 0.8704 0.1068
Er 0.9006 0.9006 0.5904
Tm 0.3852 0.3852 0.8492
Tm 0.6148 0.6148 0.1508
Pb 0.3416 0.3416 0.3402
Pb 0.6584 0.6584 0.6598

Values from the calculation:
magnetization	0.00	μB per cell
energy of formation from the pure elements	-0.92	eV/f.u.
symmetry	No. 12
distance to the lowest polymorph of the same formula	20.1	meV per atom

BaZr2: optimized geometry, PBE-GGA.

Lattice parameters (Å, degrees): 8.7700 8.7700 8.7700 158.22 158.22 31.00
Element x y z (fractional)
Ba 0.0000 0.0000 0.0000
Zr 0.3097 0.3097 0.0000
Zr 0.6903 0.6903 0.0000

Values from the calculation:
magnetization	0.00	μB per cell
energy of formation from the pure elements	1.11	eV/f.u.
symmetry	No. 139
distance to the lowest polymorph of the same formula	51.7	meV per atom

Nb2ReHW: optimized geometry, PBE-GGA.

Lattice parameters (Å, degrees): 4.4797 4.4797 3.5036 90.00 90.00 90.00
Element x y z (fractional)
Nb 0.0000 0.5000 0.0000
Nb 0.5000 0.0000 0.0000
Re 0.0000 0.0000 0.5000
H 0.0000 0.0000 0.0000
W 0.5000 0.5000 0.5000

Values from the calculation:
magnetization	0.00	μB per cell
symmetry	No. 123
distance to the lowest polymorph of the same formula	0.0	meV per atom

Mn2VNi: optimized geometry, PBE-GGA.

Lattice parameters (Å, degrees): 2.9570 2.9570 5.6612 90.00 90.00 90.00
Element x y z (fractional)
Mn 0.0000 0.0000 0.2488
Mn 0.0000 0.0000 0.7512
V 0.5000 0.5000 0.0000
Ni 0.5000 0.5000 0.5000

Values from the calculation:
magnetization	4.64	μB per cell
energy of formation from the pure elements	-0.34	eV/f.u.
symmetry	No. 123
distance to the lowest polymorph of the same formula	28.0	meV per atom

Sc3Mn2: optimized geometry, PBE-GGA.

Lattice parameters (Å, degrees): 7.6051 5.6382 8.6199 60.23 40.06 79.71
Element x y z (fractional)
Sc 0.0000 0.0000 0.0000
Sc 0.2500 0.2500 0.2500
Sc 0.3401 0.6416 0.4531
Sc 0.6416 0.3401 0.5653
Sc 0.6847 0.7969 0.6084
Sc 0.7969 0.6847 0.9099
Mn 0.1110 0.4634 0.9848
Mn 0.2652 0.8092 0.1390
Mn 0.4634 0.1110 0.4408
Mn 0.8092 0.2652 0.7866

Values from the calculation:
magnetization	9.37	μB per cell
energy of formation from the pure elements	0.79	eV/f.u.
symmetry	No. 43
distance to the lowest polymorph of the same formula	0.0	meV per atom

KLaCo2: optimized geometry, PBE-GGA.

Lattice parameters (Å, degrees): 4.8970 4.8970 4.8970 60.00 60.00 60.00
Element x y z (fractional)
K 0.0000 0.0000 0.0000
La 0.2500 0.2500 0.2500
Co 0.5000 0.5000 0.5000
Co 0.7500 0.7500 0.7500

Values from the calculation:
magnetization	1.91	μB per cell
energy of formation from the pure elements	3.56	eV/f.u.
symmetry	No. 216
distance to the lowest polymorph of the same formula	669.4	meV per atom

YCo3Br9: optimized geometry, PBE-GGA.

Lattice parameters (Å, degrees): 10.4487 10.4487 13.3388 124.20 124.20 52.92
Element x y z (fractional)
Y 0.2323 0.7677 0.5000
Y 0.7677 0.2323 0.0000
Co 0.0257 0.2593 0.8308
Co 0.2593 0.0257 0.3308
Co 0.2827 0.4344 0.6680
Co 0.4344 0.2827 0.1680
Co 0.6536 0.8097 0.2136
Co 0.8097 0.6536 0.7136
Br 0.0764 0.2140 0.2092
Br 0.0969 0.9254 0.3241
Br 0.1660 0.4249 0.0292
Br 0.2140 0.0764 0.7092
Br 0.3090 0.6648 0.6937
Br 0.3840 0.4156 0.3679
Br 0.4156 0.3840 0.8679
Br 0.4249 0.1660 0.5292
Br 0.4616 0.7745 0.2297
Br 0.5064 0.9844 0.0860
Br 0.5368 0.7681 0.5575
Br 0.6648 0.3090 0.1937
Br 0.7681 0.5368 0.0575
Br 0.7745 0.4616 0.7297
Br 0.8412 0.8827 0.9169
Br 0.8827 0.8412 0.4169
Br 0.9254 0.0969 0.8241
Br 0.9844 0.5064 0.5860

Values from the calculation:
magnetization	18.00	μB per cell
formation energy (no corrections)	-720	meV per atom
symmetry	No. 9

BiIrAu2F: optimized geometry, PBE-GGA.

Lattice parameters (Å, degrees): 5.3305 5.3305 4.2823 90.00 90.00 90.00
Element x y z (fractional)
Bi 0.0000 0.0000 0.0000
Ir 0.5000 0.5000 0.5000
Au 0.0000 0.5000 0.0000
Au 0.5000 0.0000 0.0000
F 0.0000 0.0000 0.5000

Values from the calculation:
magnetization	1.60	μB per cell
formation energy (no corrections)	693	meV per atom
symmetry	No. 123

ErScPb2: optimized geometry, PBE-GGA.

Lattice parameters (Å, degrees): 8.5050 6.2944 8.0644 90.00 90.00 90.00
Element x y z (fractional)
Er 0.0626 0.2500 0.2500
Er 0.4374 0.7500 0.2500
Er 0.5626 0.2500 0.7500
Er 0.9374 0.7500 0.7500
Sc 0.2500 0.0000 0.5625
Sc 0.2500 0.5000 0.9375
Sc 0.7500 0.0000 0.4375
Sc 0.7500 0.5000 0.0625
Pb 0.0563 0.7500 0.2500
Pb 0.2500 0.0000 0.9380
Pb 0.2500 0.5000 0.5620
Pb 0.4437 0.2500 0.2500
Pb 0.5563 0.7500 0.7500
Pb 0.7500 0.0000 0.0620
Pb 0.7500 0.5000 0.4380
Pb 0.9437 0.2500 0.7500

Values from the calculation:
magnetization	0.00	μB per cell
energy of formation from the pure elements	-1.04	eV/f.u.
symmetry	No. 52